A plane-wave DFT calculation with GGA-PBE was carried out for an optimized crystal structure of Sm4Te2AsN.

Calculated values
- formation energy from raw total energies (meV/atom) = -1383
- DFT total energy (eV per atom) = -6.150
- M_tot (Bohr magnetons per cell) = 0.00

Cell lengths 7.1080, 4.0826, 7.5312 Å; angles 90.00, 108.30, 90.00 degrees
Space group P2/m (No. 10)
Symmetry-distinct sites (fractional):
Sm 0.2113 0.0000 0.1968 x2
Sm 0.2337 0.5000 0.7982 x2
Te 0.0000 0.0000 0.5000 x1
Te 0.5000 0.5000 0.5000 x1
As 0.5000 0.0000 0.0000 x1
N 0.0000 0.5000 0.0000 x1

=====

A plane-wave DFT calculation with GGA-PBE was carried out for an optimized crystal structure of SmThAsN.

Calculated values
- formation energy from raw total energies (meV/atom) = -1193
- DFT total energy (eV per atom) = -7.472
- M_tot (Bohr magnetons per cell) = 0.00

Cell lengths 4.3842, 4.3842, 9.4789 Å; angles 90.00, 90.00, 90.00 degrees
Space group P4/nmm (No. 129, origin choice 2)
Symmetry-distinct sites (fractional):
Sm 0.2500 0.7500 0.0000 x2
Th 0.2500 0.2500 0.3930 x2
As 0.2500 0.2500 0.7944 x2
N 0.2500 0.7500 0.5000 x2

=====

A plane-wave DFT calculation with GGA-PBE was carried out for an optimized crystal structure of SnAsN3.

Calculated values
- formation energy from raw total energies (meV/atom) = 1832
- DFT total energy (eV per atom) = -4.894
- M_tot (Bohr magnetons per cell) = 2.00

Cell lengths 4.1299, 4.1299, 4.1299 Å; angles 90.00, 90.00, 90.00 degrees
Space group Pm-3m (No. 221)
Symmetry-distinct sites (fractional):
Sn 0.0000 0.0000 0.0000 x1
As 0.5000 0.5000 0.5000 x1
N 0.0000 0.0000 0.5000 x3

=====

A plane-wave DFT calculation with GGA-PBE was carried out for an optimized crystal structure of Sn2AsN.

Calculated values
- formation energy from raw total energies (meV/atom) = 914
- excess energy over the best structure of this formula in the dataset (meV per atom) = 582
- DFT total energy (eV per atom) = -4.331
- M_tot (Bohr magnetons per cell) = 0.00

Cell lengths 6.7400, 6.7400, 6.7400 Å; angles 90.00, 90.00, 90.00 degrees
Space group Fm-3m (No. 225)
Symmetry-distinct sites (fractional):
Sn 0.2500 0.2500 0.2500 x8
As 0.0000 0.0000 0.0000 x4
N 0.0000 0.0000 0.5000 x4

=====

A plane-wave DFT calculation with GGA-PBE was carried out for an optimized crystal structure of SnAsN3.

Calculated values
- formation energy from raw total energies (meV/atom) = 1266
- DFT total energy (eV per atom) = -5.460
- M_tot (Bohr magnetons per cell) = 0.00

Cell lengths 3.8278, 3.8278, 3.8278 Å; angles 90.00, 90.00, 90.00 degrees
Space group Pm-3m (No. 221)
Symmetry-distinct sites (fractional):
Sn 0.0000 0.0000 0.0000 x1
As 0.5000 0.5000 0.5000 x1
N 0.0000 0.5000 0.5000 x3

=====

A plane-wave DFT calculation with GGA-PBE was carried out for an optimized crystal structure of Sn2AsN2.

Calculated values
- formation energy from raw total energies (meV/atom) = 1169
- DFT total energy (eV per atom) = -4.692
- M_tot (Bohr magnetons per cell) = 0.00

Cell lengths 3.1118, 3.1118, 10.6969 Å; angles 90.00, 90.00, 120.00 degrees
Space group P-3m1 (No. 164)
Symmetry-distinct sites (fractional):
Sn 0.3333 0.6667 0.2316 x2
As 0.0000 0.0000 0.5000 x1
N 0.3333 0.6667 0.0189 x2

=====

A plane-wave DFT calculation with GGA-PBE was carried out for an optimized crystal structure of Sn2AsN.

Calculated values
- formation energy from raw total energies (meV/atom) = 332
- excess energy over the best structure of this formula in the dataset (meV per atom) = 0
- DFT total energy (eV per atom) = -4.913
- M_tot (Bohr magnetons per cell) = 0.00

Cell lengths 5.5551, 5.5551, 12.1795 Å; angles 90.00, 90.00, 90.00 degrees
Space group I-42d (No. 122)
Symmetry-distinct sites (fractional):
Sn 0.1712 0.2500 0.1250 x8
As 0.0000 0.0000 0.5000 x4
N 0.0000 0.0000 0.0000 x4

=====

A plane-wave DFT calculation with GGA-PBE was carried out for an optimized crystal structure of SnAs2N.

Calculated values
- formation energy from raw total energies (meV/atom) = 1261
- excess energy over the best structure of this formula in the dataset (meV per atom) = 645
- DFT total energy (eV per atom) = -4.146
- M_tot (Bohr magnetons per cell) = 4.52

Cell lengths 6.5932, 6.5932, 6.5932 Å; angles 90.00, 90.00, 90.00 degrees
Space group Fm-3m (No. 225)
Symmetry-distinct sites (fractional):
Sn 0.0000 0.0000 0.0000 x4
As 0.2500 0.2500 0.2500 x8
N 0.0000 0.0000 0.5000 x4

=====

A plane-wave DFT calculation with GGA-PBE was carried out for an optimized crystal structure of SnAs2N.

Calculated values
- formation energy from raw total energies (meV/atom) = 616
- excess energy over the best structure of this formula in the dataset (meV per atom) = 0
- DFT total energy (eV per atom) = -4.791
- M_tot (Bohr magnetons per cell) = 0.00

Cell lengths 5.2646, 5.2646, 12.2985 Å; angles 90.00, 90.00, 90.00 degrees
Space group I-42d (No. 122)
Symmetry-distinct sites (fractional):
Sn 0.0000 0.0000 0.0000 x4
As 0.1387 0.2500 0.6250 x8
N 0.0000 0.0000 0.5000 x4

=====

A plane-wave DFT calculation with GGA-PBE was carried out for an optimized crystal structure of Sn2AsN.

Calculated values
- formation energy from raw total energies (meV/atom) = 519
- excess energy over the best structure of this formula in the dataset (meV per atom) = 187
- DFT total energy (eV per atom) = -4.726
- M_tot (Bohr magnetons per cell) = 0.00

Cell lengths 4.4316, 4.4316, 20.2494 Å; angles 90.00, 90.00, 120.00 degrees
Space group R-3m (No. 166, hexagonal axes)
Symmetry-distinct sites (fractional):
Sn 0.0000 0.0000 0.0962 x6
As 0.0000 0.0000 0.5000 x3
N 0.0000 0.0000 0.0000 x3

=====

A plane-wave DFT calculation with GGA-PBE was carried out for an optimized crystal structure of Sr2SnAsN.

Calculated values
- formation energy from raw total energies (meV/atom) = -571
- DFT total energy (eV per atom) = -4.640
- M_tot (Bohr magnetons per cell) = 0.00

Cell lengths 5.2174, 5.2174, 4.5717 Å; angles 90.00, 90.00, 90.00 degrees
Space group P4/mmm (No. 123)
Symmetry-distinct sites (fractional):
Sr 0.0000 0.5000 0.0000 x2
Sn 0.0000 0.0000 0.5000 x1
As 0.5000 0.5000 0.5000 x1
N 0.0000 0.0000 0.0000 x1

=====

A plane-wave DFT calculation with GGA-PBE was carried out for an optimized crystal structure of SnTeAsN2.

Calculated values
- formation energy from raw total energies (meV/atom) = 1416
- excess energy over the best structure of this formula in the dataset (meV per atom) = 115
- DFT total energy (eV per atom) = -4.273
- M_tot (Bohr magnetons per cell) = 0.60

Cell lengths 4.0402, 4.0402, 7.0677 Å; angles 90.00, 90.00, 90.00 degrees
Space group P4/mmm (No. 123)
Symmetry-distinct sites (fractional):
Sn 0.0000 0.0000 0.0000 x1
Te 0.0000 0.0000 0.5000 x1
As 0.5000 0.5000 0.5000 x1
N 0.0000 0.5000 0.0000 x2

=====

A plane-wave DFT calculation with GGA-PBE was carried out for an optimized crystal structure of SnTeAsN2.

Calculated values
- formation energy from raw total energies (meV/atom) = 1300
- excess energy over the best structure of this formula in the dataset (meV per atom) = 0
- DFT total energy (eV per atom) = -4.389
- M_tot (Bohr magnetons per cell) = 1.30

Cell lengths 4.1099, 4.1099, 5.5332 Å; angles 90.00, 90.00, 90.00 degrees
Space group P4/mmm (No. 123)
Symmetry-distinct sites (fractional):
Sn 0.0000 0.0000 0.0000 x1
Te 0.5000 0.5000 0.0000 x1
As 0.5000 0.5000 0.5000 x1
N 0.0000 0.5000 0.5000 x2

=====

A plane-wave DFT calculation with GGA-PBE was carried out for an optimized crystal structure of Y2SnAsN.

Calculated values
- formation energy from raw total energies (meV/atom) = 793
- DFT total energy (eV per atom) = -5.189
- M_tot (Bohr magnetons per cell) = 0.00

Cell lengths 5.3684, 5.3684, 5.0685 Å; angles 90.00, 90.00, 90.00 degrees
Space group P4/mmm (No. 123)
Symmetry-distinct sites (fractional):
Y 0.0000 0.5000 0.0000 x2
Sn 0.0000 0.0000 0.5000 x1
As 0.0000 0.0000 0.0000 x1
N 0.5000 0.5000 0.5000 x1

=====

A plane-wave DFT calculation with GGA-PBE was carried out for an optimized crystal structure of ZnSn2AsN.

Calculated values
- formation energy from raw total energies (meV/atom) = 330
- DFT total energy (eV per atom) = -4.121
- M_tot (Bohr magnetons per cell) = 0.00

Cell lengths 5.1684, 5.1684, 3.7767 Å; angles 90.00, 90.00, 90.00 degrees
Space group P4/mmm (No. 123)
Symmetry-distinct sites (fractional):
Zn 0.0000 0.0000 0.0000 x1
Sn 0.0000 0.5000 0.5000 x2
As 0.5000 0.5000 0.0000 x1
N 0.0000 0.0000 0.5000 x1

=====

A plane-wave DFT calculation with GGA-PBE was carried out for an optimized crystal structure of Sr3AsN.

Calculated values
- formation energy from raw total energies (meV/atom) = -774
- excess energy over the best structure of this formula in the dataset (meV per atom) = 133
- DFT total energy (eV per atom) = -4.378
- M_tot (Bohr magnetons per cell) = 0.00

Cell lengths 14.1885, 11.8623, 7.8324 Å; angles 90.00, 104.77, 90.00 degrees
Space group C2/c (No. 15)
Symmetry-distinct sites (fractional):
Sr 0.1144 0.1079 0.1405 x8
Sr 0.1372 0.4659 0.9831 x8
Sr 0.1408 0.2347 0.6087 x8
As 0.0000 0.0929 0.7500 x4
As 0.0000 0.3317 0.2500 x4
N 0.2114 0.4055 0.7366 x8

=====

A plane-wave DFT calculation with GGA-PBE was carried out for an optimized crystal structure of Sr3AsN.

Calculated values
- formation energy from raw total energies (meV/atom) = -370
- excess energy over the best structure of this formula in the dataset (meV per atom) = 536
- DFT total energy (eV per atom) = -3.974
- M_tot (Bohr magnetons per cell) = 0.00

Cell lengths 4.8302, 4.8302, 16.5037 Å; angles 90.00, 90.00, 120.00 degrees
Space group P6_3/mmc (No. 194)
Symmetry-distinct sites (fractional):
Sr 0.0000 0.0000 0.2500 x2
Sr 0.3333 0.6667 0.0670 x4
As 0.3333 0.6667 0.2500 x2
N 0.0000 0.0000 0.0000 x2

=====

A plane-wave DFT calculation with GGA-PBE was carried out for an optimized crystal structure of Sr3AsN.

Calculated values
- formation energy from raw total energies (meV/atom) = -382
- excess energy over the best structure of this formula in the dataset (meV per atom) = 525
- DFT total energy (eV per atom) = -3.986
- M_tot (Bohr magnetons per cell) = 0.00

Cell lengths 7.0211, 16.8304, 6.6338 Å; angles 90.00, 90.00, 90.00 degrees
Space group Cmcm (No. 63)
Symmetry-distinct sites (fractional):
Sr 0.0000 0.0000 0.0000 x4
Sr 0.2450 0.3146 0.2500 x8
As 0.0000 0.3410 0.7500 x4
N 0.0000 0.1006 0.7500 x4

=====

A plane-wave DFT calculation with GGA-PBE was carried out for an optimized crystal structure of Sr3AsN.

Calculated values
- formation energy from raw total energies (meV/atom) = -895
- excess energy over the best structure of this formula in the dataset (meV per atom) = 11
- DFT total energy (eV per atom) = -4.499
- M_tot (Bohr magnetons per cell) = 0.00

Cell lengths 7.2223, 7.2345, 7.2360 Å; angles 60.36, 60.16, 60.18 degrees
Space group P-1 (No. 2)
Symmetry-distinct sites (fractional):
Sr 0.2079 0.2921 0.2854 x2
Sr 0.2513 0.8212 0.1788 x2
Sr 0.2911 0.7155 0.7090 x2
As 0.2503 0.2566 0.7433 x2
N 0.0000 0.0000 0.5000 x1
N 0.5000 0.5000 0.0000 x1

=====

A plane-wave DFT calculation with GGA-PBE was carried out for an optimized crystal structure of SrAs2N.

Calculated values
- formation energy from raw total energies (meV/atom) = 105
- DFT total energy (eV per atom) = -4.721
- M_tot (Bohr magnetons per cell) = 0.00

Cell lengths 6.8154, 6.8154, 7.4173 Å; angles 90.00, 90.00, 90.00 degrees
Space group I-42d (No. 122)
Symmetry-distinct sites (fractional):
Sr 0.0000 0.0000 0.0000 x4
As 0.1168 0.2500 0.6250 x8
N 0.0000 0.0000 0.5000 x4